# VInNF2

A relaxed VInNF2 crystal (PBE+U, Alexandria).

The structure in POSCAR format:
```
VInNF2
1.0
4.2188 0.0000 0.0000
0.0000 4.2188 0.0000
0.0000 0.0000 4.2588
F In V N
2 1 1 1
Direct
0.5000 0.0000 0.0000
0.0000 0.5000 0.0000
0.0000 0.0000 0.0000
0.5000 0.5000 0.5000
0.0000 0.0000 0.5000
```

Uncorrected energy: -25.25 eV/cell
Space group: No. 123
Size of the total moment: 2.994 Bohr magnetons per cell
E above lowest polymorph: 612 meV/atom